Compound: Pm2Ho6Tm3
Source: Alexandria via LeMat-Bulk
Functional: PBE
Structure: optimized geometry

Cell and atoms, written as POSCAR:
```
Pm2Ho6Tm3
1.0
-1.232 -3.110 5.060
3.681 -4.495 1.769
5.762 6.406 7.788
Pm Ho Tm
2 6 3
direct
0.167 0.667 0.500
0.833 0.333 0.500
0.416 0.666 0.754
0.749 0.000 0.754
0.082 0.334 0.754
0.251 0.000 0.246
0.584 0.334 0.246
0.918 0.666 0.246
0.000 0.000 0.000
0.335 0.331 0.000
0.665 0.669 0.000
```

ΔE to the lowest computed polymorph ... 0.0 meV per atom
VASP energy ... -48.3 eV per cell
Energy relative to the elements ... 0.19 eV per atom
Symmetry ... C2/m, No. 12


Compound: KMg14W
Source: Alexandria via LeMat-Bulk
Functional: PBE
Structure: optimized geometry

Cell and atoms, written as POSCAR:
```
KMg14W
1.0
3.219 -5.575 0.000
3.219 5.575 0.000
0.000 0.000 10.383
K Mg W
1 14 1
direct
0.000 0.000 0.000
0.012 0.506 0.000
0.991 0.495 0.500
0.494 0.988 0.000
0.505 0.009 0.500
0.494 0.506 0.000
0.505 0.495 0.500
0.163 0.837 0.275
0.163 0.837 0.725
0.163 0.327 0.275
0.163 0.327 0.725
0.673 0.837 0.275
0.673 0.837 0.725
0.667 0.333 0.238
0.667 0.333 0.762
0.000 0.000 0.500
```

ΔE to the lowest computed polymorph ... 34.5 meV per atom
VASP energy ... -32.4 eV per cell
Energy relative to the elements ... 0.25 eV per atom
Symmetry ... P-6m2, No. 187


Compound: ZrNb
Source: Alexandria via LeMat-Bulk
Functional: PBE
Structure: optimized geometry

Cell and atoms, written as POSCAR:
```
ZrNb
1.0
-1.782 -7.311 -3.452
8.078 -1.460 -1.078
0.210 -2.206 4.563
Zr Nb
8 8
direct
0.193 0.500 0.000
0.807 0.500 0.000
0.500 0.807 0.000
0.500 0.193 0.000
0.693 0.000 0.500
0.307 0.000 0.500
0.000 0.307 0.500
0.000 0.693 0.500
0.837 0.837 0.000
0.837 0.163 0.000
0.163 0.837 0.000
0.163 0.163 0.000
0.337 0.337 0.500
0.337 0.663 0.500
0.663 0.337 0.500
0.663 0.663 0.500
```

VASP energy ... -144.4 eV per cell
Energy relative to the elements ... 0.28 eV per atom
Symmetry ... I4/mmm, No. 139


Compound: RbSrRe2
Source: Alexandria via LeMat-Bulk
Functional: PBE
Structure: optimized geometry

Cell and atoms, written as POSCAR:
```
RbSrRe2
1.0
8.963 0.000 0.000
0.000 8.963 0.000
4.481 4.481 2.697
Re Rb Sr
4 2 2
direct
0.628 0.125 0.250
0.122 0.625 0.250
0.375 0.372 0.750
0.875 0.878 0.750
0.500 0.500 0.000
0.250 0.750 0.500
0.000 0.000 0.000
0.750 0.250 0.500
```

ΔE to the lowest computed polymorph ... 0.0 meV per atom
VASP energy ... -37.7 eV per cell
Energy relative to the elements ... 2.18 eV per atom
Symmetry ... I-42d, No. 122


Compound: Zn2WN2
Source: Alexandria via LeMat-Bulk
Functional: PBE
Structure: optimized geometry

Cell and atoms, written as POSCAR:
```
Zn2WN2
1.0
5.692 0.000 0.000
0.000 5.692 0.000
0.000 0.000 3.968
Zn W N
4 2 4
direct
0.167 0.667 0.500
0.667 0.833 0.500
0.833 0.333 0.500
0.333 0.167 0.500
0.000 0.000 0.000
0.500 0.500 0.000
0.217 0.717 0.000
0.717 0.783 0.000
0.783 0.283 0.000
0.283 0.217 0.000
```

ΔE to the lowest computed polymorph ... 66.8 meV per atom
VASP energy ... -61.1 eV per cell
Symmetry ... P4/mbm, No. 127


Compound: La4Tb2HoTm
Source: Alexandria via LeMat-Bulk
Functional: PBE
Structure: optimized geometry

Cell and atoms, written as POSCAR:
```
La4Tb2HoTm
1.0
5.254 0.000 0.000
0.000 5.068 1.266
0.000 2.664 10.896
La Tb Ho Tm
4 2 1 1
direct
0.000 0.751 0.749
0.000 0.249 0.251
0.500 0.749 0.251
0.500 0.251 0.749
0.000 0.000 0.000
0.500 0.000 0.500
0.500 0.500 0.000
0.000 0.500 0.500
```

VASP energy ... -37.9 eV per cell
Energy relative to the elements ... 0.02 eV per atom
Symmetry ... Pmmm, No. 47


Compound: CeDyTh14
Source: Alexandria via LeMat-Bulk
Functional: PBE
Structure: optimized geometry

Cell and atoms, written as POSCAR:
```
CeDyTh14
1.0
7.142 -0.429 0.000
-3.193 6.402 0.000
0.000 0.000 11.563
Ce Dy Th
1 1 14
direct
0.539 0.461 0.500
0.042 0.958 0.500
0.208 0.792 0.000
0.709 0.291 0.000
0.045 0.459 0.500
0.208 0.291 0.000
0.541 0.955 0.500
0.709 0.792 0.000
0.375 0.125 0.749
0.375 0.125 0.251
0.875 0.625 0.749
0.875 0.625 0.251
0.375 0.625 0.749
0.375 0.625 0.251
0.875 0.125 0.750
0.875 0.125 0.250
```

VASP energy ... -113.9 eV per cell
Energy relative to the elements ... 0.04 eV per atom
Symmetry ... Amm2, No. 38


Compound: LiAlCdNi
Source: Alexandria via LeMat-Bulk
Functional: PBE
Structure: optimized geometry

Cell and atoms, written as POSCAR:
```
LiAlCdNi
1.0
-2.801 -0.940 3.199
-3.882 -1.731 -0.944
-0.837 -4.151 1.012
Ni Li Al Cd
1 1 1 1
direct
0.000 0.000 0.000
0.500 0.500 0.500
0.250 0.250 0.250
0.750 0.750 0.750
```

VASP energy ... -13.3 eV per cell
Energy relative to the elements ... -0.23 eV per atom
Symmetry ... F-43m, No. 216


Compound: Rb2BiPdO4
Source: Alexandria via LeMat-Bulk
Functional: PBE
Structure: optimized geometry

Cell and atoms, written as POSCAR:
```
Rb2BiPdO4
1.0
-2.914 3.258 3.931
-3.526 -3.684 -2.925
3.941 -3.566 2.513
Rb Bi Pd O
2 1 1 4
direct
0.500 0.750 0.250
0.000 0.000 0.000
0.000 0.500 0.500
0.500 0.250 0.750
0.632 0.464 0.550
0.086 0.167 0.536
0.914 0.450 0.081
0.368 0.919 0.833
```

VASP energy ... -38.4 eV per cell
Symmetry ... I-4, No. 82


Compound: Dy2ErTi
Source: Alexandria via LeMat-Bulk
Functional: PBE
Structure: optimized geometry

Cell and atoms, written as POSCAR:
```
Dy2ErTi
1.0
3.344 0.000 0.000
1.672 2.896 0.000
1.672 0.965 11.652
Dy Ti Er
2 1 1
direct
0.084 0.084 0.747
0.916 0.916 0.253
0.000 0.000 0.000
0.500 0.500 0.500
```

ΔE to the lowest computed polymorph ... 253.3 meV per atom
VASP energy ... -20.0 eV per cell
Energy relative to the elements ... 0.42 eV per atom
Symmetry ... R-3m, No. 166


Compound: La2Nd3Cd
Source: Alexandria via LeMat-Bulk
Functional: PBE
Structure: optimized geometry

Cell and atoms, written as POSCAR:
```
La2Nd3Cd
1.0
-2.168 -6.658 3.742
6.312 -1.654 4.522
-1.471 9.661 1.104
La Nd Cd
4 6 2
direct
0.701 0.062 0.306
0.299 0.938 0.694
0.744 0.605 0.806
0.256 0.395 0.194
0.765 0.642 0.467
0.235 0.358 0.533
0.675 0.297 0.033
0.811 0.061 0.750
0.325 0.703 0.967
0.189 0.939 0.250
0.928 0.678 0.250
0.072 0.322 0.750
```

ΔE to the lowest computed polymorph ... 0.0 meV per atom
VASP energy ... -50.2 eV per cell
Energy relative to the elements ... 0.00 eV per atom
Symmetry ... C2/c, No. 15


Compound: SrLiErS3
Source: Alexandria via LeMat-Bulk
Functional: PBE
Structure: optimized geometry

Cell and atoms, written as POSCAR:
```
SrLiErS3
1.0
-2.563 -2.563 1.643
-2.202 -2.639 -7.550
6.551 -5.177 2.145
Sr Li Er S
2 2 2 6
direct
0.750 0.810 0.764
0.250 0.190 0.236
0.250 0.086 0.588
0.750 0.914 0.412
0.250 0.669 0.165
0.750 0.331 0.835
0.250 0.789 0.485
0.750 0.886 0.133
0.750 0.441 0.163
0.750 0.211 0.515
0.250 0.559 0.837
0.250 0.114 0.867
```

VASP energy ... -64.1 eV per cell
Symmetry ... P2_1/m, No. 11


Compound: KHg8Au2
Source: Alexandria via LeMat-Bulk
Functional: PBE
Structure: optimized geometry

Cell and atoms, written as POSCAR:
```
KHg8Au2
1.0
5.406 -0.058 -0.792
-1.375 7.545 -1.591
-0.073 0.234 7.828
K Hg Au
1 8 2
direct
0.500 0.000 0.000
0.871 0.913 0.656
0.871 0.656 0.913
0.265 0.642 0.642
0.500 0.704 0.296
0.500 0.296 0.704
0.735 0.358 0.358
0.129 0.344 0.087
0.129 0.087 0.344
0.000 0.294 0.706
0.000 0.706 0.294
```

ΔE to the lowest computed polymorph ... 0.0 meV per atom
VASP energy ... -10.9 eV per cell
Energy relative to the elements ... -0.07 eV per atom
Symmetry ... C2/m, No. 12


Compound: ZrCu4Os
Source: Alexandria via LeMat-Bulk
Functional: PBE
Structure: optimized geometry

Cell and atoms, written as POSCAR:
```
ZrCu4Os
1.0
0.000 3.445 3.445
3.445 0.000 3.445
3.445 3.445 0.000
Zr Cu Os
1 4 1
direct
0.000 0.000 0.000
0.873 0.376 0.376
0.376 0.376 0.873
0.376 0.873 0.376
0.376 0.376 0.376
0.750 0.750 0.750
```

VASP energy ... -36.4 eV per cell
Energy relative to the elements ... -0.04 eV per atom
Symmetry ... F-43m, No. 216


Compound: Ce2ZnCo
Source: Alexandria via LeMat-Bulk
Functional: PBE
Structure: optimized geometry

Cell and atoms, written as POSCAR:
```
Ce2ZnCo
1.0
6.770 0.000 -0.178
0.000 6.060 0.000
-0.363 0.000 8.469
Ce Zn Co
8 4 4
direct
0.352 0.361 0.159
0.852 0.139 0.159
0.198 0.879 0.406
0.148 0.861 0.841
0.802 0.121 0.594
0.302 0.379 0.594
0.648 0.639 0.841
0.698 0.621 0.406
0.966 0.633 0.128
0.534 0.133 0.872
0.466 0.867 0.128
0.034 0.367 0.872
0.441 0.873 0.626
0.941 0.627 0.626
0.559 0.127 0.374
0.059 0.373 0.374
```

ΔE to the lowest computed polymorph ... 8.8 meV per atom
VASP energy ... -84.2 eV per cell
Energy relative to the elements ... -0.20 eV per atom
Symmetry ... P2_1/c, No. 14


Compound: Tl2SiC
Source: Alexandria via LeMat-Bulk
Functional: PBE
Structure: optimized geometry

Cell and atoms, written as POSCAR:
```
Tl2SiC
1.0
3.905 -2.329 -1.766
1.705 -3.968 2.267
-0.505 -4.392 -2.061
C Tl Si
1 2 1
direct
0.000 0.000 0.000
0.250 0.250 0.250
0.750 0.750 0.750
0.500 0.500 0.500
```

ΔE to the lowest computed polymorph ... 336.3 meV per atom
VASP energy ... -12.8 eV per cell
Symmetry ... Fm-3m, No. 225


Compound: LaCe2Ru3
Source: Alexandria via LeMat-Bulk
Functional: PBE
Structure: optimized geometry

Cell and atoms, written as POSCAR:
```
LaCe2Ru3
1.0
-2.632 5.506 0.700
-2.011 0.041 -7.893
-2.307 -5.135 4.764
La Ce Ru
2 4 6
direct
0.500 0.250 0.500
0.500 0.750 0.500
0.167 0.917 0.833
0.167 0.417 0.833
0.833 0.583 0.167
0.833 0.083 0.167
0.000 0.750 0.000
0.000 0.250 0.000
0.500 0.750 0.000
0.000 0.000 0.500
0.000 0.500 0.500
0.500 0.250 0.000
```

VASP energy ... -92.3 eV per cell
Energy relative to the elements ... -0.25 eV per atom
Symmetry ... P6/mmm, No. 191


Compound: CsCu
Source: Alexandria via LeMat-Bulk
Functional: PBE
Structure: optimized geometry

Cell and atoms, written as POSCAR:
```
CsCu
1.0
-12.051 -3.760 -2.239
-0.238 -1.592 3.957
-3.224 8.430 3.198
Cs Cu
6 6
direct
0.815 0.256 0.240
0.685 0.744 0.740
0.185 0.256 0.240
0.315 0.744 0.740
0.000 0.744 0.854
0.500 0.256 0.354
0.906 0.242 0.575
0.594 0.758 0.075
0.094 0.242 0.575
0.406 0.758 0.075
0.000 0.742 0.518
0.500 0.258 0.018
```

VASP energy ... -25.5 eV per cell
Energy relative to the elements ... 0.35 eV per atom
Symmetry ... Pmn2_1, No. 31


Compound: Sc4IrRh3
Source: Alexandria via LeMat-Bulk
Functional: PBE
Structure: optimized geometry

Cell and atoms, written as POSCAR:
```
Sc4IrRh3
1.0
4.406 0.000 -1.189
-0.316 4.400 -1.172
-0.421 -0.481 7.198
Sc Ir Rh
4 1 3
direct
0.375 0.375 0.751
0.625 0.625 0.249
0.125 0.125 0.249
0.875 0.875 0.751
0.500 0.000 0.000
0.000 0.500 0.000
0.750 0.250 0.500
0.250 0.750 0.500
```

VASP energy ... -64.5 eV per cell
Energy relative to the elements ... -1.03 eV per atom
Symmetry ... I4/mmm, No. 139


Compound: Rb3Sr2CeS6
Source: Alexandria via LeMat-Bulk
Functional: PBE
Structure: optimized geometry

Cell and atoms, written as POSCAR:
```
Rb3Sr2CeS6
1.0
-1.998 -5.867 -4.246
6.043 -0.464 4.440
-5.725 -0.505 5.614
Rb Sr Ce S
3 2 1 6
direct
0.171 0.829 0.500
0.829 0.171 0.500
0.500 0.500 0.500
0.334 0.666 0.000
0.666 0.334 0.000
0.000 0.000 0.000
0.934 0.625 0.802
0.759 0.759 0.199
0.066 0.375 0.198
0.625 0.934 0.802
0.241 0.241 0.801
0.375 0.066 0.198
```

VASP energy ... -55.8 eV per cell
Symmetry ... C2/m, No. 12